Model w:
A plane-wave DFT calculation with PBE was carried out for Cd3Ag4 after structural relaxation. Values from VASP.

The size of the total moment comes out at 0.00 μB per formula unit. The density is 9.51 g/cm³. The symmetry is No. 71.

```
&SYSTEM
  ibrav = 0, nat = 7, ntyp = 2
/
ATOMIC_SPECIES
Cd 112.41 Cd.upf
Ag 107.87 Ag.upf
ATOMIC_POSITIONS crystal
Cd 0.854 0.354 0.709
Cd 0.000 0.500 0.000
Cd 0.146 0.646 0.291
Ag 0.715 0.215 0.429
Ag 0.285 0.785 0.571
Ag 0.428 0.928 0.856
Ag 0.572 0.072 0.144
CELL_PARAMETERS angstrom
3.027 0.000 -0.441
-0.114 4.066 -0.786
0.041 -0.002 10.896
```



Model x:
A plane-wave DFT calculation with PBE was carried out for Cd3Ag4 after structural relaxation. Values from VASP.

The size of the total moment comes out at 0.00 μB per formula unit. The density is 8.98 g/cm³. The symmetry is No. 191.

```
&SYSTEM
  ibrav = 0, nat = 7, ntyp = 2
/
ATOMIC_SPECIES
Cd 112.41 Cd.upf
Ag 107.87 Ag.upf
ATOMIC_POSITIONS crystal
Cd 0.000 0.500 0.000
Cd 0.500 0.500 0.000
Cd 0.500 0.000 0.000
Ag 0.000 0.000 0.254
Ag 0.000 0.000 0.746
Ag 0.667 0.333 0.500
Ag 0.333 0.667 0.500
CELL_PARAMETERS angstrom
2.777 -4.809 0.000
2.777 4.809 0.000
0.000 0.000 5.322
```



Model y:
A plane-wave DFT calculation with PBE was carried out for Cd3Ag4 after structural relaxation. Values from VASP.

The size of the total moment comes out at 0.00 μB per formula unit. The density is 9.44 g/cm³. The symmetry is No. 139.

```
&SYSTEM
  ibrav = 0, nat = 7, ntyp = 2
/
ATOMIC_SPECIES
Ag 107.87 Ag.upf
Cd 112.41 Cd.upf
ATOMIC_POSITIONS crystal
Ag 0.139 0.139 0.000
Ag 0.430 0.430 0.000
Ag 0.570 0.570 0.000
Ag 0.861 0.861 0.000
Cd 0.000 0.000 0.000
Cd 0.292 0.292 0.000
Cd 0.708 0.708 0.000
CELL_PARAMETERS angstrom
-5.301 2.737 -9.925
-4.338 -2.014 -10.547
2.661 -0.929 11.232
```



Most stable pick: model w. Distance to second place: 22 meV per atom.



Model w:
A plane-wave DFT calculation with PBE was carried out for Cd2Ag after structural relaxation. Values from VASP.

The size of the total moment comes out at 0.00 μB per formula unit. The density is 8.63 g/cm³. The symmetry is No. 227.

```
&SYSTEM
  ibrav = 0, nat = 6, ntyp = 2
/
ATOMIC_SPECIES
Cd 112.41 Cd.upf
Ag 107.87 Ag.upf
ATOMIC_POSITIONS crystal
Cd 0.125 0.625 0.125
Cd 0.125 0.125 0.625
Cd 0.625 0.125 0.125
Cd 0.125 0.125 0.125
Ag 0.750 0.750 0.750
Ag 0.500 0.500 0.500
CELL_PARAMETERS angstrom
0.000 4.000 4.000
4.000 0.000 4.000
4.000 4.000 0.000
```



Model x:
A plane-wave DFT calculation with PBE was carried out for Cd2Ag after structural relaxation. Values from VASP.

The size of the total moment comes out at 0.00 μB per formula unit. The density is 8.70 g/cm³. The symmetry is No. 141.

```
&SYSTEM
  ibrav = 0, nat = 6, ntyp = 2
/
ATOMIC_SPECIES
Ag 107.87 Ag.upf
Cd 112.41 Cd.upf
ATOMIC_POSITIONS crystal
Ag 0.000 0.000 0.000
Ag 0.750 0.250 0.500
Cd 0.173 0.673 0.500
Cd 0.327 0.827 0.500
Cd 0.423 0.423 0.000
Cd 0.577 0.577 0.000
CELL_PARAMETERS angstrom
-11.103 -3.823 -6.686
-9.026 -7.657 -6.520
9.079 5.288 8.496
```



Model y:
A plane-wave DFT calculation with PBE was carried out for Cd2Ag after structural relaxation. Values from VASP.

The size of the total moment comes out at 0.00 μB per formula unit. The density is 9.13 g/cm³. The symmetry is No. 62.

```
&SYSTEM
  ibrav = 0, nat = 12, ntyp = 2
/
ATOMIC_SPECIES
Ag 107.87 Ag.upf
Cd 112.41 Cd.upf
ATOMIC_POSITIONS crystal
Ag 0.179 0.250 0.834
Ag 0.321 0.750 0.334
Ag 0.679 0.250 0.666
Ag 0.821 0.750 0.166
Cd 0.148 0.250 0.170
Cd 0.169 0.250 0.508
Cd 0.331 0.750 0.008
Cd 0.352 0.750 0.670
Cd 0.648 0.250 0.330
Cd 0.669 0.250 0.992
Cd 0.831 0.750 0.492
Cd 0.852 0.750 0.830
CELL_PARAMETERS angstrom
5.415 0.000 0.000
0.000 4.854 0.000
0.000 0.000 9.212
```



Model z:
A plane-wave DFT calculation with PBE was carried out for Cd2Ag after structural relaxation. Values from VASP.

The size of the total moment comes out at 0.00 μB per formula unit. The density is 9.02 g/cm³. The symmetry is No. 189.

```
&SYSTEM
  ibrav = 0, nat = 9, ntyp = 2
/
ATOMIC_SPECIES
Ag 107.87 Ag.upf
Cd 112.41 Cd.upf
ATOMIC_POSITIONS crystal
Ag 0.000 0.000 0.500
Ag 0.333 0.667 0.000
Ag 0.667 0.333 0.000
Cd 0.000 0.297 0.000
Cd 0.000 0.630 0.500
Cd 0.297 0.000 0.000
Cd 0.703 0.703 0.000
Cd 0.630 0.000 0.500
Cd 0.370 0.370 0.500
CELL_PARAMETERS angstrom
8.190 0.000 0.000
-4.095 7.093 0.000
0.000 0.000 3.162
```



Most stable pick: model y. Distance to second place: 24 meV per atom.



Model w:
A plane-wave DFT calculation with PBE was carried out for Cd2Ag after structural relaxation. Values from VASP.

The size of the total moment comes out at 0.00 μB per formula unit. The density is 8.77 g/cm³. The symmetry is No. 227.

```
&SYSTEM
  ibrav = 0, nat = 24, ntyp = 2
/
ATOMIC_SPECIES
Ag 107.87 Ag.upf
Cd 112.41 Cd.upf
ATOMIC_POSITIONS crystal
Ag 0.285 0.285 0.285
Ag 0.285 0.285 0.646
Ag 0.285 0.646 0.285
Ag 0.646 0.285 0.285
Ag 0.715 0.715 0.715
Ag 0.715 0.715 0.354
Ag 0.715 0.354 0.715
Ag 0.354 0.715 0.715
Cd 0.000 0.500 0.500
Cd 0.500 0.000 0.500
Cd 0.500 0.500 0.000
Cd 0.500 0.500 0.500
Cd 0.060 0.060 0.690
Cd 0.060 0.690 0.060
Cd 0.690 0.060 0.060
Cd 0.060 0.690 0.690
Cd 0.690 0.060 0.690
Cd 0.690 0.690 0.060
Cd 0.940 0.940 0.310
Cd 0.940 0.310 0.940
Cd 0.310 0.940 0.940
Cd 0.940 0.310 0.310
Cd 0.310 0.940 0.310
Cd 0.310 0.310 0.940
CELL_PARAMETERS angstrom
8.933 0.000 0.000
4.467 7.736 0.000
4.467 2.579 7.294
```



Model x:
A plane-wave DFT calculation with PBE was carried out for Cd2Ag after structural relaxation. Values from VASP.

The size of the total moment comes out at 0.00 μB per formula unit. The density is 9.12 g/cm³. The symmetry is No. 8.

```
&SYSTEM
  ibrav = 0, nat = 6, ntyp = 2
/
ATOMIC_SPECIES
Ag 107.87 Ag.upf
Cd 112.41 Cd.upf
ATOMIC_POSITIONS crystal
Ag 0.999 0.999 0.001
Ag 0.334 0.334 0.667
Cd 0.118 0.118 0.728
Cd 0.452 0.452 0.394
Cd 0.666 0.666 0.330
Cd 0.764 0.764 0.047
CELL_PARAMETERS angstrom
-4.276 3.551 -1.590
-3.566 1.913 -4.129
1.865 -9.438 6.610
```



Most stable pick: model x. Distance to second place: 25 meV per atom.



Model w:
A plane-wave DFT calculation with PBE was carried out for Cd2Ag after structural relaxation. Values from VASP.

The size of the total moment comes out at 0.00 μB per formula unit. The density is 9.12 g/cm³. The symmetry is No. 63.

```
&SYSTEM
  ibrav = 0, nat = 6, ntyp = 2
/
ATOMIC_SPECIES
Ag 107.87 Ag.upf
Cd 112.41 Cd.upf
ATOMIC_POSITIONS crystal
Ag 0.905 0.095 0.250
Ag 0.095 0.905 0.750
Cd 0.570 0.430 0.250
Cd 0.430 0.570 0.750
Cd 0.242 0.758 0.250
Cd 0.758 0.242 0.750
CELL_PARAMETERS angstrom
-5.493 -3.084 3.851
3.556 1.298 -6.338
2.621 -3.806 0.691
```



Model x:
A plane-wave DFT calculation with PBE was carried out for Cd2Ag after structural relaxation. Values from VASP.

The size of the total moment comes out at 0.00 μB per formula unit. The density is 7.68 g/cm³. The symmetry is No. 225.

```
&SYSTEM
  ibrav = 0, nat = 3, ntyp = 2
/
ATOMIC_SPECIES
Ag 107.87 Ag.upf
Cd 112.41 Cd.upf
ATOMIC_POSITIONS crystal
Ag 0.000 0.000 0.000
Cd 0.750 0.750 0.750
Cd 0.250 0.250 0.250
CELL_PARAMETERS angstrom
4.669 0.000 0.000
2.335 4.044 0.000
2.335 1.348 3.812
```



Model y:
A plane-wave DFT calculation with PBE was carried out for Cd2Ag after structural relaxation. Values from VASP.

The size of the total moment comes out at 0.00 μB per formula unit. The density is 9.10 g/cm³. The symmetry is No. 139.

```
&SYSTEM
  ibrav = 0, nat = 3, ntyp = 2
/
ATOMIC_SPECIES
Ag 107.87 Ag.upf
Cd 112.41 Cd.upf
ATOMIC_POSITIONS crystal
Ag 0.500 0.500 0.000
Cd 0.161 0.161 0.000
Cd 0.839 0.839 0.000
CELL_PARAMETERS angstrom
-6.157 1.213 2.396
-6.490 -0.215 -1.721
6.200 -2.557 0.387
```



Model z:
A plane-wave DFT calculation with PBE was carried out for Cd2Ag after structural relaxation. Values from VASP.

The size of the total moment comes out at 0.00 μB per formula unit. The density is 8.47 g/cm³. The symmetry is No. 140.

```
&SYSTEM
  ibrav = 0, nat = 6, ntyp = 2
/
ATOMIC_SPECIES
Ag 107.87 Ag.upf
Cd 112.41 Cd.upf
ATOMIC_POSITIONS crystal
Ag 0.250 0.250 0.000
Ag 0.750 0.750 0.000
Cd 0.157 0.343 0.500
Cd 0.343 0.843 0.187
Cd 0.657 0.157 0.813
Cd 0.843 0.657 0.500
CELL_PARAMETERS angstrom
-1.515 -0.325 -5.363
1.307 -4.642 2.812
-4.514 1.992 2.611
```



Most stable pick: model w. Distance to second place: 5 meV per atom.



Model w:
A plane-wave DFT calculation with PBE was carried out for Cd3Ag5 after structural relaxation. Values from VASP.

The size of the total moment comes out at 0.00 μB per formula unit. The density is 9.55 g/cm³. The symmetry is No. 71.

```
&SYSTEM
  ibrav = 0, nat = 8, ntyp = 2
/
ATOMIC_SPECIES
Cd 112.41 Cd.upf
Ag 107.87 Ag.upf
ATOMIC_POSITIONS crystal
Cd 0.870 0.870 0.739
Cd 0.000 0.500 0.000
Cd 0.130 0.130 0.261
Ag 0.250 0.750 0.501
Ag 0.375 0.375 0.749
Ag 0.500 0.000 0.000
Ag 0.625 0.625 0.251
Ag 0.750 0.250 0.499
CELL_PARAMETERS angstrom
-3.532 2.882 -1.242
0.985 -0.782 -4.618
-2.981 -6.274 2.907
```



Model x:
A plane-wave DFT calculation with PBE was carried out for Cd3Ag5 after structural relaxation. Values from VASP.

The size of the total moment comes out at 0.00 μB per formula unit. The density is 9.29 g/cm³. The symmetry is No. 8.

```
&SYSTEM
  ibrav = 0, nat = 16, ntyp = 2
/
ATOMIC_SPECIES
Ag 107.87 Ag.upf
Cd 112.41 Cd.upf
ATOMIC_POSITIONS crystal
Ag 0.149 0.841 0.857
Ag 0.239 0.082 0.310
Ag 0.272 0.772 0.540
Ag 0.341 0.649 0.857
Ag 0.419 0.260 0.690
Ag 0.582 0.739 0.310
Ag 0.661 0.353 0.145
Ag 0.728 0.228 0.461
Ag 0.760 0.919 0.690
Ag 0.853 0.161 0.145
Cd 0.167 0.334 0.501
Cd 0.233 0.267 0.000
Cd 0.237 0.737 0.169
Cd 0.764 0.264 0.833
Cd 0.767 0.733 0.000
Cd 0.834 0.667 0.501
CELL_PARAMETERS angstrom
-0.451 1.355 -7.918
0.777 -6.133 5.149
-7.624 1.678 1.678
```



Model y:
A plane-wave DFT calculation with PBE was carried out for Cd3Ag5 after structural relaxation. Values from VASP.

The size of the total moment comes out at 0.00 μB per formula unit. The density is 9.16 g/cm³. The symmetry is No. 193.

```
&SYSTEM
  ibrav = 0, nat = 16, ntyp = 2
/
ATOMIC_SPECIES
Ag 107.87 Ag.upf
Cd 112.41 Cd.upf
ATOMIC_POSITIONS crystal
Ag 0.000 0.213 0.250
Ag 0.000 0.787 0.750
Ag 0.213 0.000 0.250
Ag 0.213 0.213 0.750
Ag 0.333 0.667 0.000
Ag 0.333 0.667 0.500
Ag 0.667 0.333 0.000
Ag 0.667 0.333 0.500
Ag 0.787 0.000 0.750
Ag 0.787 0.787 0.250
Cd 0.000 0.401 0.750
Cd 0.000 0.599 0.250
Cd 0.401 0.000 0.750
Cd 0.402 0.402 0.250
Cd 0.599 0.000 0.250
Cd 0.598 0.598 0.750
CELL_PARAMETERS angstrom
-6.165 5.053 1.898
-1.288 -6.322 -5.052
-1.273 -3.159 4.279
```



Most stable pick: model w. Distance to second place: 35 meV per atom.



Model w:
A plane-wave DFT calculation with PBE was carried out for Cd7Ag3 after structural relaxation. Values from VASP.

The size of the total moment comes out at 0.00 μB per formula unit. The density is 8.57 g/cm³. The symmetry is No. 186.

```
&SYSTEM
  ibrav = 0, nat = 20, ntyp = 2
/
ATOMIC_SPECIES
Cd 112.41 Cd.upf
Ag 107.87 Ag.upf
ATOMIC_POSITIONS crystal
Cd 0.029 0.667 0.333
Cd 0.529 0.333 0.667
Cd 0.864 0.885 0.771
Cd 0.864 0.885 0.115
Cd 0.864 0.229 0.115
Cd 0.364 0.115 0.229
Cd 0.364 0.115 0.885
Cd 0.364 0.771 0.885
Cd 0.207 0.477 0.953
Cd 0.207 0.477 0.523
Cd 0.207 0.047 0.523
Cd 0.707 0.523 0.047
Cd 0.707 0.523 0.477
Cd 0.707 0.953 0.477
Ag 0.889 0.207 0.414
Ag 0.889 0.207 0.793
Ag 0.889 0.586 0.793
Ag 0.389 0.793 0.586
Ag 0.389 0.793 0.207
Ag 0.389 0.414 0.207
CELL_PARAMETERS angstrom
5.826 0.000 0.000
0.000 9.233 0.000
0.000 -4.617 7.996
```



Model x:
A plane-wave DFT calculation with PBE was carried out for Cd7Ag3 after structural relaxation. Values from VASP.

The size of the total moment comes out at 0.00 μB per formula unit. The density is 9.03 g/cm³. The symmetry is No. 12.

```
&SYSTEM
  ibrav = 0, nat = 10, ntyp = 2
/
ATOMIC_SPECIES
Cd 112.41 Cd.upf
Ag 107.87 Ag.upf
ATOMIC_POSITIONS crystal
Cd 0.000 0.500 0.000
Cd 0.799 0.891 0.598
Cd 0.201 0.109 0.402
Cd 0.603 0.306 0.206
Cd 0.397 0.694 0.794
Cd 0.599 0.803 0.199
Cd 0.401 0.197 0.801
Ag 0.000 0.000 0.000
Ag 0.800 0.398 0.601
Ag 0.200 0.602 0.399
CELL_PARAMETERS angstrom
4.157 0.000 -1.170
-0.366 6.089 -1.300
0.008 0.278 7.997
```



Most stable pick: model x. Distance to second place: 33 meV per atom.



Model w:
A plane-wave DFT calculation with PBE was carried out for Cd4Ag5 after structural relaxation. Values from VASP.

The size of the total moment comes out at 0.00 μB per formula unit. The density is 9.47 g/cm³. The symmetry is No. 12.

```
&SYSTEM
  ibrav = 0, nat = 9, ntyp = 2
/
ATOMIC_SPECIES
Cd 112.41 Cd.upf
Ag 107.87 Ag.upf
ATOMIC_POSITIONS crystal
Cd 0.335 0.666 0.664
Cd 0.335 0.997 0.333
Cd 0.665 0.667 0.003
Cd 0.665 0.336 0.334
Ag 0.000 0.004 0.996
Ag 0.000 0.330 0.670
Ag 0.000 0.667 0.333
Ag 0.335 0.331 0.998
Ag 0.665 0.002 0.669
CELL_PARAMETERS angstrom
3.813 0.006 0.006
1.910 6.735 -0.377
1.910 0.513 6.726
```



Model x:
A plane-wave DFT calculation with PBE was carried out for Cd4Ag5 after structural relaxation. Values from VASP.

The size of the total moment comes out at 0.00 μB per formula unit. The density is 9.37 g/cm³. The symmetry is No. 193.

```
&SYSTEM
  ibrav = 0, nat = 18, ntyp = 2
/
ATOMIC_SPECIES
Ag 107.87 Ag.upf
Cd 112.41 Cd.upf
ATOMIC_POSITIONS crystal
Ag 0.308 0.692 0.250
Ag 0.000 0.308 0.250
Ag 0.692 0.000 0.250
Ag 0.692 0.308 0.750
Ag 0.000 0.692 0.750
Ag 0.308 0.000 0.750
Ag 0.333 0.333 0.000
Ag 0.667 0.667 0.500
Ag 0.667 0.667 0.000
Ag 0.333 0.333 0.500
Cd 0.000 0.000 0.000
Cd 0.000 0.000 0.500
Cd 0.638 0.362 0.250
Cd 0.000 0.638 0.250
Cd 0.362 0.000 0.250
Cd 0.362 0.638 0.750
Cd 0.000 0.362 0.750
Cd 0.638 0.000 0.750
CELL_PARAMETERS angstrom
8.337 0.000 0.000
4.168 7.220 0.000
0.000 0.000 5.822
```



Most stable pick: model w. Distance to second place: 14 meV per atom.



Model w:
A plane-wave DFT calculation with PBE was carried out for Cd4Ag3 after structural relaxation. Values from VASP.

The size of the total moment comes out at 0.00 μB per formula unit. The density is 8.86 g/cm³. The symmetry is No. 191.

```
&SYSTEM
  ibrav = 0, nat = 7, ntyp = 2
/
ATOMIC_SPECIES
Ag 107.87 Ag.upf
Cd 112.41 Cd.upf
ATOMIC_POSITIONS crystal
Ag 0.500 0.500 0.000
Ag 0.000 0.500 0.000
Ag 0.500 0.000 0.000
Cd 0.000 0.000 0.253
Cd 0.000 0.000 0.747
Cd 0.333 0.333 0.500
Cd 0.667 0.667 0.500
CELL_PARAMETERS angstrom
5.554 0.000 0.000
2.777 4.810 0.000
0.000 0.000 5.422
```



Model x:
A plane-wave DFT calculation with PBE was carried out for Cd4Ag3 after structural relaxation. Values from VASP.

The size of the total moment comes out at 0.00 μB per formula unit. The density is 9.24 g/cm³. The symmetry is No. 12.

```
&SYSTEM
  ibrav = 0, nat = 7, ntyp = 2
/
ATOMIC_SPECIES
Cd 112.41 Cd.upf
Ag 107.87 Ag.upf
ATOMIC_POSITIONS crystal
Cd 0.428 0.855 0.731
Cd 0.143 0.286 0.579
Cd 0.857 0.714 0.421
Cd 0.572 0.145 0.269
Ag 0.283 0.566 0.143
Ag 0.000 0.000 0.000
Ag 0.717 0.434 0.857
CELL_PARAMETERS angstrom
4.263 0.000 0.000
-2.131 4.904 0.071
0.000 0.686 6.657
```



Most stable pick: model x. Distance to second place: 33 meV per atom.